Below is a relaxed structure of Nd4InSnN, with properties calculated at the PBE level.

Properties
DFT total energy in eV per atom: -5.64
Formation energy without anion corrections in kJ/mol of formula units: -518

```
data_Nd4InSnN
_chemical_formula_sum 'Nd16 In4 Sn4 N4'
_space_group_name_H-M_alt 'C m c m'
_space_group_IT_number 63
_space_group_name_Hall '-C 2c 2'
_cell_length_a 6.963
_cell_length_b 16.558
_cell_length_c 6.966
_cell_angle_alpha 90.00
_cell_angle_beta 90.00
_cell_angle_gamma 90.00
loop_
_atom_site_label
_atom_site_fract_x
_atom_site_fract_y
_atom_site_fract_z
Nd1 0.000 0.087 0.250
Nd2 0.000 0.413 0.250
Nd3 0.250 0.250 0.000
In1 0.000 0.111 0.750
Sn1 0.000 0.390 0.750
N1 0.000 0.249 0.250
```